[1]
Below is an optimized crystal structure of Np3UOs, with properties calculated at the PBE-GGA level.

```
5
Lattice="5.509 1.369 -1.327 0.776 5.623 -1.327 -0.364 -0.405 3.599" Properties=species:S:1:pos:R:3 pbc="T T T"
Np 4.606 2.755 0.659
Np 1.544 1.718 1.887
Np 2.250 4.873 0.659
U 4.278 4.759 -1.038
Os 5.426 6.037 0.948
```

Computed properties:
- space-group type = Cm
- VASP energy (eV/cell) = -59.693



[2]
Below is an optimized crystal structure of CaScTe2N, with properties calculated at the PBE-GGA level.

```
5
Lattice="5.817 0.000 0.000 0.000 5.817 0.000 0.000 0.000 3.968" Properties=species:S:1:pos:R:3 pbc="T T T"
Sc 0.000 0.000 0.000
Ca 2.909 2.909 1.984
Te 0.000 2.909 0.000
Te 2.909 0.000 0.000
N 0.000 0.000 1.984
```

Computed properties:
- space-group type = P4/mmm
- E above lowest polymorph (eV per atom) = 0.000
- VASP energy (eV/cell) = -25.746



[3]
Below is an optimized crystal structure of AsP2Pb, with properties calculated at the PBE-GGA level.

```
4
Lattice="-0.887 -3.529 -0.729 1.679 -1.355 4.517 -4.025 0.662 1.694" Properties=species:S:1:pos:R:3 pbc="T T T"
As -1.173 -0.346 3.106
P 0.000 0.000 0.000
P 0.396 -2.442 1.894
Pb -2.456 -1.434 0.483
```

Computed properties:
- space-group type = Pmmm
- E above lowest polymorph (eV per atom) = 0.459
- VASP energy (eV/cell) = -16.541



[4]
Below is an optimized crystal structure of K3Cu, with properties calculated at the PBE-GGA level.

```
4
Lattice="4.191 0.063 0.000 -0.049 4.192 0.000 0.000 0.000 11.438" Properties=species:S:1:pos:R:3 pbc="T T T"
Cu 0.000 0.000 0.000
K 2.071 2.127 9.546
K 0.000 0.000 5.719
K 2.071 2.127 1.892
```

Computed properties:
- space-group type = Cmmm
- VASP energy (eV/cell) = -6.422



[5]
Below is an optimized crystal structure of Sc3Te, with properties calculated at the PBE-GGA level.

```
4
Lattice="-0.898 2.194 -2.767 -2.295 -0.440 2.795 3.839 6.923 4.243" Properties=species:S:1:pos:R:3 pbc="T T T"
Sc 3.743 6.750 4.137
Sc 2.016 3.635 2.228
Sc -0.404 3.047 0.148
Te 1.516 6.508 2.270
```

Computed properties:
- space-group type = P-6m2
- E above lowest polymorph (eV per atom) = 0.197
- VASP energy (eV/cell) = -23.756



[6]
Below is an optimized crystal structure of ZnPdSe3, with properties calculated at the PBE-GGA level.

```
5
Lattice="4.958 0.000 0.000 0.000 4.958 0.000 0.000 0.000 4.958" Properties=species:S:1:pos:R:3 pbc="T T T"
Zn 2.479 2.479 2.479
Se 0.000 2.479 0.000
Se 0.000 0.000 2.479
Se 2.479 0.000 0.000
Pd 0.000 0.000 0.000
```

Computed properties:
- space-group type = Pm-3m
- E above lowest polymorph (eV per atom) = 0.000
- VASP energy (eV/cell) = -14.723



Which formula does entry 5 have?
Sc3Te



The highest VASP energy belongs to which entry?
K3Cu